Ca4TbAu5: relaxed, PBE.

Properties
Energy of formation: -0.805 eV/atom
Magnetization: 0.000 μB/f.u.

The structure in CIF format:
```
data_Ca4TbAu5
_chemical_formula_sum 'Ca4 Tb1 Au5'
_symmetry_space_group_name_H-M 'P 4/m m m'
_symmetry_Int_Tables_number 123
_symmetry_space_group_name_Hall '-P 4 2'
_cell_length_a 3.652
_cell_length_b 3.652
_cell_length_c 18.034
_cell_angle_alpha 90.00
_cell_angle_beta 90.00
_cell_angle_gamma 90.00
loop_
_atom_site_label
_atom_site_type_symbol
_atom_site_fract_x
_atom_site_fract_y
_atom_site_fract_z
Ca1 Ca 0.000 0.000 0.100
Ca2 Ca 0.000 0.000 0.300
Tb1 Tb 0.000 0.000 0.500
Au1 Au 0.500 0.500 0.000
Au2 Au 0.500 0.500 0.200
Au3 Au 0.500 0.500 0.408
```

Th3Cu3Au2: relaxed, PBE.

Properties
Energy of formation: -0.365 eV/atom
Magnetization: 0.000 μB/f.u.

The structure in CIF format:
```
data_Th3Cu3Au2
_chemical_formula_sum 'Th12 Cu12 Au8'
_symmetry_space_group_name_H-M 'C m c m'
_symmetry_Int_Tables_number 63
_symmetry_space_group_name_Hall '-C 2c 2'
_cell_length_a 4.506
_cell_length_b 10.765
_cell_length_c 14.431
_cell_angle_alpha 90.00
_cell_angle_beta 90.00
_cell_angle_gamma 90.00
loop_
_atom_site_label
_atom_site_type_symbol
_atom_site_fract_x
_atom_site_fract_y
_atom_site_fract_z
Th1 Th 0.000 0.088 0.105
Th2 Th 0.000 0.359 0.250
Cu1 Cu 0.000 0.364 0.750
Cu2 Cu 0.000 0.396 0.039
Au1 Au 0.000 0.206 0.603
```

LaMg2Ru2: relaxed, PBE.

Properties
Energy relative to the lowest polymorph listed for this composition: 13 meV/atom
Energy of formation: 0.020 eV/atom
Magnetization: 0.000 μB/f.u.

The structure in CIF format:
```
data_LaMg2Ru2
_chemical_formula_sum 'La2 Mg4 Ru4'
_symmetry_space_group_name_H-M 'P 4/m b m'
_symmetry_Int_Tables_number 127
_symmetry_space_group_name_Hall '-P 4 2ab'
_cell_length_a 7.499
_cell_length_b 7.499
_cell_length_c 3.368
_cell_angle_alpha 90.00
_cell_angle_beta 90.00
_cell_angle_gamma 90.00
loop_
_atom_site_label
_atom_site_type_symbol
_atom_site_fract_x
_atom_site_fract_y
_atom_site_fract_z
La1 La 0.000 0.000 0.000
Mg1 Mg 0.134 0.366 0.500
Ru1 Ru 0.158 0.658 0.000
```

AlOs3Cl: relaxed, PBE.

Properties
Energy relative to the lowest polymorph listed for this composition: 447 meV/atom
Formation energy without anion corrections: 2.2506 eV/atom
Magnetization: 4.196 μB/f.u.

The structure in CIF format:
```
data_AlOs3Cl
_chemical_formula_sum 'Al1 Os3 Cl1'
_symmetry_space_group_name_H-M 'P m -3 m'
_symmetry_Int_Tables_number 221
_symmetry_space_group_name_Hall '-P 4 2 3'
_cell_length_a 4.576
_cell_length_b 4.576
_cell_length_c 4.576
_cell_angle_alpha 90.00
_cell_angle_beta 90.00
_cell_angle_gamma 90.00
loop_
_atom_site_label
_atom_site_type_symbol
_atom_site_fract_x
_atom_site_fract_y
_atom_site_fract_z
Al1 Al 0.000 0.000 0.000
Os1 Os 0.000 0.000 0.500
Cl1 Cl 0.500 0.500 0.500
```

ErMgSc2S4: relaxed, PBE.

Properties
Formation energy without anion corrections: -1.7228 eV/atom
Magnetization: 0.000 μB/f.u.

The structure in CIF format:
```
data_ErMgSc2S4
_chemical_formula_sum 'Er1 Mg1 Sc2 S4'
_symmetry_space_group_name_H-M 'P 1 2/m 1'
_symmetry_Int_Tables_number 10
_symmetry_space_group_name_Hall '-P 2y'
_cell_length_a 6.487
_cell_length_b 3.718
_cell_length_c 6.518
_cell_angle_alpha 90.00
_cell_angle_beta 109.12
_cell_angle_gamma 90.00
loop_
_atom_site_label
_atom_site_type_symbol
_atom_site_fract_x
_atom_site_fract_y
_atom_site_fract_z
Er1 Er 0.000 0.000 0.000
Mg1 Mg 0.500 0.500 0.000
Sc1 Sc 0.000 0.500 0.500
Sc2 Sc 0.500 0.000 0.500
S1 S 0.260 0.000 0.751
S2 S 0.262 0.500 0.255
```

KRb2TlPb: relaxed, PBE.

Properties
Energy of formation: 0.057 eV/atom
Magnetization: 0.002 μB/f.u.

The structure in CIF format:
```
data_KRb2TlPb
_chemical_formula_sum 'K1 Rb2 Tl1 Pb1'
_symmetry_space_group_name_H-M 'P 4/m m m'
_symmetry_Int_Tables_number 123
_symmetry_space_group_name_Hall '-P 4 2'
_cell_length_a 7.368
_cell_length_b 7.368
_cell_length_c 5.916
_cell_angle_alpha 90.00
_cell_angle_beta 90.00
_cell_angle_gamma 90.00
loop_
_atom_site_label
_atom_site_type_symbol
_atom_site_fract_x
_atom_site_fract_y
_atom_site_fract_z
K1 K 0.000 0.000 0.000
Rb1 Rb 0.000 0.500 0.500
Tl1 Tl 0.500 0.500 0.000
Pb1 Pb 0.500 0.500 0.500
```

Ca3ReIr: relaxed, PBE.

Properties
Energy relative to the lowest polymorph listed for this composition: 427 meV/atom
Energy of formation: 1.307 eV/atom
Magnetization: 1.455 μB/f.u.

The structure in CIF format:
```
data_Ca3ReIr
_chemical_formula_sum 'Ca3 Re1 Ir1'
_symmetry_space_group_name_H-M 'P m -3 m'
_symmetry_Int_Tables_number 221
_symmetry_space_group_name_Hall '-P 4 2 3'
_cell_length_a 5.274
_cell_length_b 5.274
_cell_length_c 5.274
_cell_angle_alpha 90.00
_cell_angle_beta 90.00
_cell_angle_gamma 90.00
loop_
_atom_site_label
_atom_site_type_symbol
_atom_site_fract_x
_atom_site_fract_y
_atom_site_fract_z
Ca1 Ca 0.000 0.000 0.500
Re1 Re 0.000 0.000 0.000
Ir1 Ir 0.500 0.500 0.500
```

MgZnAs2: relaxed, PBE.

Properties
Energy relative to the lowest polymorph listed for this composition: 109 meV/atom
Energy of formation: 0.009 eV/atom
Magnetization: 0.000 μB/f.u.

The structure in CIF format:
```
data_MgZnAs2
_chemical_formula_sum 'Mg2 Zn2 As4'
_symmetry_space_group_name_H-M 'C m m m'
_symmetry_Int_Tables_number 65
_symmetry_space_group_name_Hall '-C 2 2'
_cell_length_a 3.997
_cell_length_b 4.910
_cell_length_c 7.724
_cell_angle_alpha 90.00
_cell_angle_beta 90.00
_cell_angle_gamma 90.00
loop_
_atom_site_label
_atom_site_type_symbol
_atom_site_fract_x
_atom_site_fract_y
_atom_site_fract_z
Mg1 Mg 0.000 0.000 0.000
Zn1 Zn 0.000 0.000 0.500
As1 As 0.000 0.500 0.254
```

ScBi3As: relaxed, PBE.

Properties
Energy relative to the lowest polymorph listed for this composition: 0 meV/atom
Energy of formation: 0.474 eV/atom
Magnetization: 0.000 μB/f.u.

The structure in CIF format:
```
data_ScBi3As
_chemical_formula_sum 'Sc1 Bi3 As1'
_symmetry_space_group_name_H-M 'P m -3 m'
_symmetry_Int_Tables_number 221
_symmetry_space_group_name_Hall '-P 4 2 3'
_cell_length_a 5.504
_cell_length_b 5.504
_cell_length_c 5.504
_cell_angle_alpha 90.00
_cell_angle_beta 90.00
_cell_angle_gamma 90.00
loop_
_atom_site_label
_atom_site_type_symbol
_atom_site_fract_x
_atom_site_fract_y
_atom_site_fract_z
Sc1 Sc 0.000 0.000 0.000
Bi1 Bi 0.000 0.500 0.500
As1 As 0.500 0.500 0.500
```

NbAg2Se: relaxed, PBE.

Properties
Formation energy without anion corrections: 0.3257 eV/atom
Magnetization: 0.671 μB/f.u.

The structure in CIF format:
```
data_NbAg2Se
_chemical_formula_sum 'Nb4 Ag8 Se4'
_symmetry_space_group_name_H-M 'I -4 2 d'
_symmetry_Int_Tables_number 122
_symmetry_space_group_name_Hall 'I -4 2bw'
_cell_length_a 7.771
_cell_length_b 7.771
_cell_length_c 5.216
_cell_angle_alpha 90.00
_cell_angle_beta 90.00
_cell_angle_gamma 90.00
loop_
_atom_site_label
_atom_site_type_symbol
_atom_site_fract_x
_atom_site_fract_y
_atom_site_fract_z
Nb1 Nb 0.000 0.000 0.000
Ag1 Ag 0.231 0.250 0.625
Se1 Se 0.000 0.000 0.500
```

BaZnHgI4: relaxed, PBE.

Properties
Formation energy without anion corrections: -0.9619 eV/atom
Magnetization: 0.000 μB/f.u.

The structure in CIF format:
```
data_BaZnHgI4
_chemical_formula_sum 'Ba4 Zn4 Hg4 I16'
_symmetry_space_group_name_H-M 'C 1 2/m 1'
_symmetry_Int_Tables_number 12
_symmetry_space_group_name_Hall '-C 2y'
_cell_length_a 16.827
_cell_length_b 10.597
_cell_length_c 9.213
_cell_angle_alpha 90.00
_cell_angle_beta 119.70
_cell_angle_gamma 90.00
loop_
_atom_site_label
_atom_site_type_symbol
_atom_site_fract_x
_atom_site_fract_y
_atom_site_fract_z
Ba1 Ba 0.199 0.000 0.300
Zn1 Zn 0.191 0.000 0.799
Hg1 Hg 0.064 0.500 0.383
I1 I 0.051 0.000 0.858
I2 I 0.167 0.500 0.902
I3 I 0.183 0.192 0.608
```

Ag2SeCl8: relaxed, PBE.

Properties
Formation energy without anion corrections: -0.1702 eV/atom
Magnetization: 1.882 μB/f.u.

The structure in CIF format:
```
data_Ag2SeCl8
_chemical_formula_sum 'Ag4 Se2 Cl16'
_symmetry_space_group_name_H-M 'C 1 2/m 1'
_symmetry_Int_Tables_number 12
_symmetry_space_group_name_Hall '-C 2y'
_cell_length_a 12.454
_cell_length_b 8.527
_cell_length_c 6.433
_cell_angle_alpha 90.00
_cell_angle_beta 103.26
_cell_angle_gamma 90.00
loop_
_atom_site_label
_atom_site_type_symbol
_atom_site_fract_x
_atom_site_fract_y
_atom_site_fract_z
Ag1 Ag 0.214 0.000 0.208
Se1 Se 0.000 0.000 0.500
Cl1 Cl 0.080 0.198 0.308
Cl2 Cl 0.099 0.500 0.801
Cl3 Cl 0.168 0.000 0.779
```

What did the fourth record say?
AlOs3Cl: relaxed, PBE.

Properties
Energy relative to the lowest polymorph listed for this composition: 447 meV/atom
Formation energy without anion corrections: 2.2506 eV/atom
Magnetization: 4.196 μB/f.u.

The structure in CIF format:
```
data_AlOs3Cl
_chemical_formula_sum 'Al1 Os3 Cl1'
_symmetry_space_group_name_H-M 'P m -3 m'
_symmetry_Int_Tables_number 221
_symmetry_space_group_name_Hall '-P 4 2 3'
_cell_length_a 4.576
_cell_length_b 4.576
_cell_length_c 4.576
_cell_angle_alpha 90.00
_cell_angle_beta 90.00
_cell_angle_gamma 90.00
loop_
_atom_site_label
_atom_site_type_symbol
_atom_site_fract_x
_atom_site_fract_y
_atom_site_fract_z
Al1 Al 0.000 0.000 0.000
Os1 Os 0.000 0.000 0.500
Cl1 Cl 0.500 0.500 0.500
```